# Tb6Ho2S3

A geometry-optimized Tb6Ho2S3 structure (PBE, Alexandria via LeMat-Bulk).

Cell: 3.751 3.751 24.578 Å, 85.62 85.62 60.00°
Sites, in units of the cell vectors:
Ho 0.442 0.442 0.673
Ho 0.558 0.558 0.327
Tb 0.643 0.643 0.071
Tb 0.931 0.931 0.208
Tb 0.814 0.814 0.557
Tb 0.357 0.357 0.929
Tb 0.069 0.069 0.792
Tb 0.186 0.186 0.443
S 0.000 0.000 0.000
S 0.287 0.287 0.138
S 0.713 0.713 0.862

Output
The density is 7.68 g/cm³. The value obtained for the formation energy from raw total energies is -1.04 eV per atom.


# TbHo2S4

A geometry-optimized TbHo2S4 structure (PBE, Alexandria via LeMat-Bulk).

Cell: 3.802 6.709 13.089 Å, 90.00 90.00 106.46°
Sites, in units of the cell vectors:
S 0.500 0.000 0.500
S 0.971 0.941 0.750
S 0.029 0.059 0.250
S 0.776 0.551 0.122
S 0.224 0.449 0.878
S 0.776 0.551 0.378
S 0.500 0.000 0.000
S 0.224 0.449 0.622
Ho 0.130 0.259 0.070
Ho 0.870 0.741 0.930
Ho 0.870 0.741 0.570
Ho 0.130 0.259 0.430
Tb 0.627 0.253 0.750
Tb 0.373 0.747 0.250

Output
The offset from the most stable computed form comes out at 0.0000 eV per atom. The density is 6.40 g/cm³. The value obtained for the formation energy from raw total energies is -2.05 eV per atom.


# Tb3Ho2S8

A geometry-optimized Tb3Ho2S8 structure (PBE, Alexandria via LeMat-Bulk).

Cell: 6.703 7.928 7.906 Å, 120.09 107.45 90.00°
Sites, in units of the cell vectors:
Tb 0.000 0.737 0.000
Tb 0.000 0.263 0.000
Tb 0.500 0.000 0.000
S 0.415 0.360 0.251
S 0.931 0.118 0.236
S 0.585 0.640 0.749
S 0.904 0.619 0.238
S 0.096 0.381 0.762
S 0.415 0.891 0.251
S 0.585 0.109 0.749
S 0.069 0.882 0.764
Ho 0.343 0.262 0.524
Ho 0.657 0.738 0.476

Output
The density is 5.18 g/cm³. The value obtained for the formation energy from raw total energies is -1.87 eV per atom.


# TbHo2S4

A geometry-optimized TbHo2S4 structure (PBE, Alexandria via LeMat-Bulk).

Cell: 3.935 6.843 7.685 Å, 118.50 104.83 90.00°
Sites, in units of the cell vectors:
S 0.639 0.276 0.279
S 0.126 0.811 0.253
S 0.361 0.724 0.721
S 0.874 0.189 0.747
Ho 0.271 0.264 0.542
Ho 0.729 0.736 0.458
Tb 0.000 0.000 0.000

Output
The offset from the most stable computed form comes out at 0.0326 eV per atom. The density is 5.89 g/cm³. The value obtained for the formation energy from raw total energies is -2.02 eV per atom.


# Tb2Ho3S8

A geometry-optimized Tb2Ho3S8 structure (PBE, Alexandria via LeMat-Bulk).

Cell: 6.674 7.906 7.895 Å, 120.05 107.30 90.00°
Sites, in units of the cell vectors:
S 0.913 0.619 0.239
S 0.586 0.643 0.753
S 0.072 0.884 0.768
S 0.087 0.381 0.761
S 0.414 0.357 0.247
S 0.586 0.110 0.753
S 0.414 0.890 0.247
S 0.928 0.116 0.232
Ho 0.500 0.000 0.000
Ho 0.000 0.263 0.000
Ho 0.000 0.737 0.000
Tb 0.658 0.737 0.475
Tb 0.342 0.263 0.525

Output
The density is 5.24 g/cm³. The value obtained for the formation energy from raw total energies is -1.89 eV per atom.


# TbHoTh2S4

A geometry-optimized TbHoTh2S4 structure (PBE, Alexandria via LeMat-Bulk).

Cell: 3.938 6.757 7.055 Å, 108.89 90.00 90.00°
Sites, in units of the cell vectors:
S 0.000 0.257 0.767
S 0.500 0.753 0.765
S 0.500 0.247 0.235
S 0.000 0.743 0.233
Th 0.500 0.000 0.500
Th 0.000 0.500 0.500
Ho 0.500 0.500 0.000
Tb 0.000 0.000 0.000

Output
The density is 8.57 g/cm³. The value obtained for the formation energy from raw total energies is -1.91 eV per atom.


# TbHo2ThS4

A geometry-optimized TbHo2ThS4 structure (PBE, Alexandria via LeMat-Bulk).

Cell: 3.904 6.859 6.819 Å, 70.90 90.00 90.00°
Sites, in units of the cell vectors:
Th 0.500 0.500 0.000
Tb 0.000 0.500 0.500
Ho 0.000 0.000 0.000
Ho 0.500 0.000 0.500
S 0.000 0.238 0.259
S 0.500 0.758 0.252
S 0.500 0.242 0.748
S 0.000 0.762 0.741

Output
The density is 8.17 g/cm³. The value obtained for the formation energy from raw total energies is -1.94 eV per atom.


# Tb2Ho3ThS6

A geometry-optimized Tb2Ho3ThS6 structure (PBE, Alexandria via LeMat-Bulk).

Cell: 3.919 7.879 8.788 Å, 103.24 102.88 90.00°
Sites, in units of the cell vectors:
S 0.001 0.738 0.001
S 0.999 0.262 0.999
S 0.667 0.586 0.334
S 0.328 0.917 0.656
S 0.672 0.083 0.344
S 0.333 0.414 0.666
Ho 0.500 0.500 0.000
Ho 0.836 0.166 0.672
Ho 0.164 0.834 0.328
Th 0.500 0.000 0.000
Tb 0.835 0.670 0.671
Tb 0.165 0.330 0.329

Output
The density is 7.99 g/cm³. The value obtained for the formation energy from raw total energies is -1.95 eV per atom.


# Tb3Ho4ThS8

A geometry-optimized Tb3Ho4ThS8 structure (PBE, Alexandria via LeMat-Bulk).

Cell: 7.835 7.855 7.835 Å, 119.91 120.00 90.00°
Sites, in units of the cell vectors:
S 0.252 0.242 0.997
S 0.748 0.758 0.003
S 0.751 0.754 0.503
S 0.745 0.242 0.490
S 0.255 0.758 0.003
S 0.255 0.758 0.510
S 0.249 0.246 0.497
S 0.745 0.242 0.997
Ho 0.000 0.000 0.500
Ho 0.500 0.000 0.500
Ho 0.000 0.000 0.000
Ho 0.500 0.000 0.000
Th 0.000 0.500 0.000
Tb 0.000 0.500 0.500
Tb 0.500 0.500 0.500
Tb 0.500 0.500 0.000

Output
The density is 7.90 g/cm³. The value obtained for the formation energy from raw total energies is -1.96 eV per atom.


# TbHo2Th3S6

A geometry-optimized TbHo2Th3S6 structure (PBE, Alexandria via LeMat-Bulk).

Cell: 6.729 6.729 7.111 Å, 99.04 99.04 119.68°
Sites, in units of the cell vectors:
S 0.258 0.258 0.768
S 0.413 0.078 0.233
S 0.742 0.742 0.232
S 0.922 0.587 0.767
S 0.587 0.922 0.767
S 0.078 0.413 0.233
Th 0.166 0.834 0.500
Th 0.500 0.500 0.500
Th 0.834 0.166 0.500
Ho 0.333 0.667 0.000
Ho 0.667 0.333 0.000
Tb 0.000 0.000 0.000

Output
The density is 8.61 g/cm³. The value obtained for the formation energy from raw total energies is -1.90 eV per atom.


# Tb4Ho3ThS8

A geometry-optimized Tb4Ho3ThS8 structure (PBE, Alexandria via LeMat-Bulk).

Cell: 7.863 7.851 7.864 Å, 120.06 119.99 90.00°
Sites, in units of the cell vectors:
Tb 0.500 0.000 0.000
Tb 0.000 0.000 0.500
Tb 0.000 0.000 0.000
Tb 0.500 0.000 0.500
Th 0.000 0.500 0.000
S 0.743 0.751 0.997
S 0.254 0.751 0.507
S 0.257 0.249 0.003
S 0.251 0.254 0.503
S 0.746 0.249 0.003
S 0.254 0.751 0.997
S 0.749 0.746 0.497
S 0.746 0.249 0.493
Ho 0.000 0.500 0.500
Ho 0.500 0.500 0.500
Ho 0.500 0.500 0.000

Output
The density is 7.84 g/cm³. The value obtained for the formation energy from raw total energies is -1.96 eV per atom.


# Tb3HoTh4S8

A geometry-optimized Tb3HoTh4S8 structure (PBE, Alexandria via LeMat-Bulk).

Cell: 7.825 8.096 7.825 Å, 118.90 120.00 90.00°
Sites, in units of the cell vectors:
S 0.253 0.265 0.009
S 0.745 0.736 0.490
S 0.255 0.264 0.510
S 0.756 0.265 0.512
S 0.756 0.265 0.009
S 0.747 0.735 0.991
S 0.244 0.735 0.488
S 0.244 0.735 0.991
Th 0.500 0.000 0.000
Th 0.000 0.000 0.500
Th 0.000 0.000 0.000
Th 0.500 0.000 0.500
Tb 0.500 0.500 0.500
Tb 0.000 0.500 0.500
Tb 0.500 0.500 0.000
Ho 0.000 0.500 0.000

Output
The density is 8.51 g/cm³. The value obtained for the formation energy from raw total energies is -1.92 eV per atom.


# Tb2HoTl3S6

A geometry-optimized Tb2HoTl3S6 structure (PBE, Alexandria via LeMat-Bulk).

Cell: 6.994 6.994 7.873 Å, 98.52 98.52 120.00°
Sites, in units of the cell vectors:
Tb 0.667 0.333 0.000
Tb 0.333 0.667 0.000
Tl 0.167 0.833 0.500
Tl 0.833 0.167 0.500
Tl 0.500 0.500 0.500
Ho 0.000 0.000 0.000
S 0.066 0.397 0.198
S 0.735 0.735 0.198
S 0.265 0.265 0.802
S 0.397 0.066 0.198
S 0.603 0.934 0.802
S 0.934 0.603 0.802

Output
The density is 6.71 g/cm³. The value obtained for the formation energy from raw total energies is -1.49 eV per atom.


# Tb3HoTl2S

A geometry-optimized Tb3HoTl2S structure (PBE, Alexandria via LeMat-Bulk).

Cell: 5.056 5.092 8.765 Å, 106.89 106.76 90.00°
Sites, in units of the cell vectors:
Tb 0.000 0.500 0.000
Tb 0.828 0.828 0.655
Tb 0.172 0.172 0.345
S 0.000 0.000 0.000
Ho 0.500 0.000 0.000
Tl 0.632 0.632 0.265
Tl 0.368 0.368 0.735

Output
The density is 8.73 g/cm³. The value obtained for the formation energy from raw total energies is -0.66 eV per atom.


# TbHoTl2S4

A geometry-optimized TbHoTl2S4 structure (PBE, Alexandria via LeMat-Bulk).

Cell: 4.031 6.983 7.871 Å, 107.18 90.00 90.00°
Sites, in units of the cell vectors:
Tl 0.000 0.500 0.500
Tl 0.500 0.000 0.500
S 0.000 0.735 0.198
S 0.500 0.770 0.803
S 0.000 0.265 0.802
S 0.500 0.230 0.197
Ho 0.000 0.000 0.000
Tb 0.500 0.500 0.000

Output
The density is 6.75 g/cm³. The value obtained for the formation energy from raw total energies is -1.49 eV per atom.


# TbHo2TmS6

A geometry-optimized TbHo2TmS6 structure (PBE, Alexandria via LeMat-Bulk).

Cell: 6.877 6.877 7.320 Å, 61.98 61.98 59.99°
Sites, in units of the cell vectors:
Ho 0.017 0.017 0.949
Ho 0.516 0.516 0.453
S 0.913 0.619 0.253
S 0.719 0.111 0.750
S 0.112 0.420 0.750
S 0.420 0.718 0.750
S 0.619 0.216 0.253
S 0.216 0.913 0.253
Tm 0.817 0.817 0.549
Tb 0.315 0.315 0.055

Output
The density is 5.61 g/cm³. The value obtained for the formation energy from raw total energies is -2.06 eV per atom.


# Tb3HoTm3S8

A geometry-optimized Tb3HoTm3S8 structure (PBE, Alexandria via LeMat-Bulk).

Cell: 7.743 7.743 7.768 Å, 119.89 90.00 120.00°
Sites, in units of the cell vectors:
S 0.749 0.005 0.254
S 0.251 0.995 0.746
S 0.747 0.495 0.742
S 0.253 0.505 0.258
S 0.749 0.498 0.254
S 0.256 0.005 0.254
S 0.251 0.502 0.746
S 0.744 0.995 0.746
Tb 0.000 0.500 0.000
Tb 0.500 0.500 0.000
Tb 0.000 0.000 0.000
Tm 0.000 0.500 0.500
Tm 0.500 0.500 0.500
Tm 0.500 0.000 0.500
Ho 0.000 0.000 0.500

Output
The density is 7.07 g/cm³. The value obtained for the formation energy from raw total energies is -2.04 eV per atom.


# TbHoTm4S8

A geometry-optimized TbHoTm4S8 structure (PBE, Alexandria via LeMat-Bulk).

Cell: 7.963 7.963 7.974 Å, 60.05 60.05 60.00°
Sites, in units of the cell vectors:
Tm 0.000 0.000 0.500
Tm 0.625 0.625 0.124
Tm 0.000 0.501 0.500
Tm 0.501 0.000 0.500
S 0.243 0.243 0.738
S 0.240 0.240 0.279
S 0.229 0.756 0.260
S 0.243 0.777 0.738
S 0.758 0.758 0.727
S 0.756 0.756 0.260
S 0.756 0.229 0.260
S 0.777 0.243 0.738
Tb 0.375 0.375 0.876
Ho 0.000 0.000 0.001

Output
The density is 5.83 g/cm³. The value obtained for the formation energy from raw total energies is -1.92 eV per atom.


# TbHo2TmS4

A geometry-optimized TbHo2TmS4 structure (PBE, Alexandria via LeMat-Bulk).

Cell: 3.851 6.736 6.759 Å, 70.92 90.00 90.00°
Sites, in units of the cell vectors:
Ho 0.000 0.000 0.000
Ho 0.500 0.000 0.500
Tm 0.000 0.500 0.500
Tb 0.500 0.500 0.000
S 0.000 0.751 0.746
S 0.000 0.249 0.254
S 0.500 0.748 0.254
S 0.500 0.252 0.746

Output
The density is 7.88 g/cm³. The value obtained for the formation energy from raw total energies is -1.97 eV per atom.


# TbHoTm2S6

A geometry-optimized TbHoTm2S6 structure (PBE, Alexandria via LeMat-Bulk).

Cell: 6.859 6.859 7.301 Å, 61.98 61.98 59.99°
Sites, in units of the cell vectors:
S 0.221 0.907 0.250
S 0.907 0.621 0.250
S 0.722 0.117 0.749
S 0.118 0.411 0.749
S 0.621 0.221 0.250
S 0.411 0.722 0.749
Tb 0.314 0.314 0.057
Tm 0.016 0.016 0.953
Tm 0.515 0.515 0.455
Ho 0.815 0.816 0.553

Output
The density is 5.68 g/cm³. The value obtained for the formation energy from raw total energies is -2.06 eV per atom.